Here is a geometry-optimized Cd2PbSe structure from the Alexandria database. Energies are from PBE-GGA.

Calculated values
The energy relative to the elements, uncorrected comes out at -0.0515 eV per atom. Its space group is Cmmm (65). The density of states at the Fermi level comes out at 1.88 states/eV/f.u. The value obtained for the total magnetization is 0.00 μB/f.u. As for the offset from the most stable computed form: 0.130 eV per atom. The total energy is -2.307 eV per atom.

Lattice parameters (Å, degrees): 3.6338 3.6338 7.7185 90.00 90.00 94.62
With the nearest neighbours (Å) after each atom.
Positions (direct):
Cd: 0.0000 0.0000 0.2075  4 Se 2.94-3.11, 1 Cd 3.20
Cd: 0.0000 0.0000 0.7925  4 Se 2.94-3.11, 1 Cd 3.20
Pb: 0.5000 0.5000 0.5000  8 Cd 3.34-3.50, 4 Pb 3.63
Se: 0.5000 0.5000 0.0000  8 Cd 2.94-3.11